First-principles (GGA+U) data for a relaxed Ca2NpFeO6 crystal, as listed in Alexandria via LeMat-Bulk.

Values from the calculation:
- Raw total energy: -7.9003 eV/atom
- Magnetization: 5.0 μB per formula unit

Unit cell a=5.673 b=5.723 c=5.754 alpha=60.66 beta=60.56 gamma=61.11
Space group P-1 (No. 2)
Asymmetric unit:
Ca  0.233  0.227  0.224 x2
Np  0.500  0.500  0.500 x1
Fe  0.000  0.000  0.000 x1
O  0.155  0.754  0.358 x2
O  0.255  0.646  0.841 x2
O  0.346  0.154  0.764 x2